Density functional theory data (PBE) for an optimized crystal structure of Na3Dy2ThSe6.

The structure in extended XYZ format:
```
12
Lattice="-3.180 -2.562 -0.677 1.147 -3.473 7.750 -4.327 8.281 1.637" Properties=species:S:1:pos:R:3 pbc="T T T"
Na -1.016 -3.017 3.536
Na -5.333 2.789 1.838
Na -1.027 -0.543 6.872
Dy -4.752 1.060 5.649
Dy -1.608 1.186 3.061
Th -1.590 -1.281 -0.339
Se -2.937 1.562 7.878
Se -2.953 -0.881 4.545
Se -3.423 0.685 0.832
Se 0.230 -0.801 1.949
Se -6.590 3.048 6.761
Se -3.407 3.127 4.164
```

## Properties
Total DFT energy (no corrections)   -5.08 eV/atom
Fermi-level density of states   0.33 states/eV per atom
Symmetry   C2/m (12)

Density functional theory data (PBE) for an optimized crystal structure of NaDyTh2Se4.

The structure in extended XYZ format:
```
8
Lattice="4.030 0.000 0.000 0.000 7.559 -0.380 0.000 2.444 6.557" Properties=species:S:1:pos:R:3 pbc="T T T"
Na 0.000 5.001 3.089
Dy 2.015 3.779 -0.190
Th 0.000 2.444 6.557
Th 2.015 1.222 3.279
Se 0.000 7.389 4.664
Se 4.030 2.614 1.513
Se 2.015 6.193 1.376
Se 2.015 3.810 4.802
```

## Properties
Total DFT energy (no corrections)   -5.90 eV/atom
Fermi-level density of states   0.53 states/eV per atom
Symmetry   P2/m (10)

Density functional theory data (PBE) for an optimized crystal structure of NaDy2ThSe4.

The structure in extended XYZ format:
```
8
Lattice="4.084 0.000 0.000 0.000 7.154 -0.195 0.000 2.490 6.788" Properties=species:S:1:pos:R:3 pbc="T T T"
Na 0.000 4.822 3.297
Dy 0.000 2.490 6.788
Dy 2.042 1.245 3.394
Th 2.042 3.577 -0.097
Se 0.000 7.265 4.879
Se 4.084 2.378 1.715
Se 2.042 6.044 1.538
Se 2.042 3.600 5.055
```

## Properties
Total DFT energy (no corrections)   -5.63 eV/atom
Fermi-level density of states   0.60 states/eV per atom
Symmetry   P2/m (10)

Density functional theory data (PBE) for an optimized crystal structure of Na4Dy3ThSe8.

The structure in extended XYZ format:
```
16
Lattice="-0.445 -8.000 -2.175 5.888 -1.919 5.853 -6.858 4.054 2.336" Properties=species:S:1:pos:R:3 pbc="T T T"
Na -0.222 -4.000 -1.088
Na -3.651 -1.973 0.080
Na 0.000 0.000 0.000
Na -3.429 2.027 1.168
Dy 2.722 -4.959 1.839
Dy -0.707 -2.932 3.007
Dy -0.485 1.068 4.095
Th 2.944 -0.959 2.927
Se -2.560 0.621 6.071
Se 0.830 -1.383 4.916
Se -2.044 -0.490 2.221
Se -2.780 -3.333 4.996
Se 1.365 -2.531 1.018
Se 0.629 -5.374 3.793
Se -2.245 -4.482 1.098
Se 1.146 -6.486 -0.057
```

## Properties
Total DFT energy (no corrections)   -5.04 eV/atom
Fermi-level density of states   0.28 states/eV per atom
Symmetry   R-3m (166)

Density functional theory data (PBE) for an optimized crystal structure of Na4DyTh3Se8.

The structure in extended XYZ format:
```
16
Lattice="8.303 0.000 0.000 0.000 8.640 0.228 -4.151 -4.146 5.875" Properties=species:S:1:pos:R:3 pbc="T T T"
Na 4.151 0.000 0.000
Na 2.076 -2.073 2.937
Na 0.000 0.000 0.000
Na -2.076 -2.073 2.937
Dy 0.000 4.320 0.114
Th 4.151 4.320 0.114
Th 2.076 2.247 3.051
Th -2.076 2.247 3.051
Se -2.113 2.256 6.018
Se 0.000 4.366 3.028
Se 0.000 0.104 3.006
Se 2.113 2.256 6.018
Se 2.038 2.238 0.085
Se 4.151 4.389 3.097
Se 4.151 0.127 3.075
Se 6.265 2.238 0.085
```

## Properties
Total DFT energy (no corrections)   -5.28 eV/atom
Fermi-level density of states   0.58 states/eV per atom
Symmetry   R-3m (166)

Density functional theory data (PBE) for an optimized crystal structure of NaDy3Th4Se8.

The structure in extended XYZ format:
```
16
Lattice="8.052 0.000 0.000 0.000 8.546 0.341 -4.026 -4.021 5.697" Properties=species:S:1:pos:R:3 pbc="T T T"
Na 0.000 4.273 0.170
Dy 4.026 4.273 0.170
Dy 2.013 2.262 3.019
Dy -2.013 2.262 3.019
Th 4.026 0.000 0.000
Th 2.013 -2.011 2.849
Th 0.000 0.000 0.000
Th -2.013 -2.011 2.849
Se -2.020 2.286 5.887
Se 0.000 4.304 3.022
Se 0.000 0.215 2.998
Se 2.020 2.286 5.887
Se 2.006 2.239 0.152
Se 4.026 4.310 3.040
Se 4.026 0.221 3.017
Se 6.046 2.239 0.152
```

## Properties
Total DFT energy (no corrections)   -6.15 eV/atom
Fermi-level density of states   0.59 states/eV per atom
Symmetry   R-3m (166)